(1)
! Cs3Ac3TiO8 (PBE, optimized geometry); values from VASP
&SYSTEM
  ibrav = 0, nat = 15, ntyp = 4
/
ATOMIC_SPECIES
Cs 132.91 Cs.upf
Ac 227.00 Ac.upf
Ti 47.87 Ti.upf
O 16.00 O.upf
CELL_PARAMETERS angstrom
-4.654 -3.910 4.193
1.588 -2.262 -6.849
5.880 -0.933 5.656
ATOMIC_POSITIONS angstrom
Cs 0.000 0.000 0.000
Cs 0.794 -1.131 -3.425
Cs -1.533 -3.086 -1.328
Ac 0.613 -2.422 4.924
Ac 1.407 -3.553 1.500
Ac 3.734 -1.597 -0.597
Ti 2.940 -0.467 2.828
O 1.494 -2.615 -0.780
O 1.320 -4.490 3.780
O -0.747 -4.886 1.117
O 3.561 -2.219 1.883
O -1.670 -3.570 5.097
O 4.484 -3.535 -2.097
O 1.033 -1.298 2.661
O 1.780 -5.807 0.339
! SG: No. 166
! Calculated total energy, eV per cell: -100.89
! Crystal system: trigonal
! E_form (uncorrected), eV/atom: -2.563

=====

(2)
! Cs3Ac3TlO8 (PBE, optimized geometry); values from VASP
&SYSTEM
  ibrav = 0, nat = 15, ntyp = 4
/
ATOMIC_SPECIES
Cs 132.91 Cs.upf
Ac 227.00 Ac.upf
Tl 204.38 Tl.upf
O 16.00 O.upf
CELL_PARAMETERS angstrom
7.822 0.000 0.000
-3.911 6.478 -0.139
0.000 -4.421 7.115
ATOMIC_POSITIONS angstrom
Cs 0.000 0.000 0.000
Cs -1.955 3.239 -0.070
Cs 1.955 3.239 -0.070
Ac 3.911 -2.211 3.557
Ac 1.955 1.028 3.488
Ac -1.955 1.028 3.488
Tl 0.000 -2.211 3.557
O 0.000 2.071 2.266
O 3.911 -0.014 4.709
O 3.911 2.383 2.337
O 0.000 -0.326 4.639
O 5.839 -1.096 2.297
O -1.928 3.153 4.678
O 1.983 -1.096 2.297
O 1.928 3.153 4.678
! SG: No. 12
! Calculated total energy, eV per cell: -87.86
! Crystal system: monoclinic
! E_form (uncorrected), eV/atom: -2.063

=====

(3)
! CsAc2Tl2O6 (PBE, optimized geometry); values from VASP
&SYSTEM
  ibrav = 0, nat = 11, ntyp = 4
/
ATOMIC_SPECIES
Cs 132.91 Cs.upf
Ac 227.00 Ac.upf
Tl 204.38 Tl.upf
O 16.00 O.upf
CELL_PARAMETERS angstrom
6.899 -0.276 0.097
3.167 6.586 -0.317
0.256 -4.175 6.247
ATOMIC_POSITIONS angstrom
Cs 3.578 -2.226 3.172
Ac 7.034 -1.245 5.072
Ac 3.288 3.380 0.955
Tl 3.810 1.625 4.704
Tl 6.513 0.510 1.323
O 5.320 0.361 5.678
O 7.951 2.169 1.043
O 3.861 3.348 3.422
O 2.371 -0.034 4.985
O 6.462 -1.214 2.605
O 5.003 1.773 0.349
! SG: No. 2
! Calculated total energy, eV per cell: -63.52
! Crystal system: triclinic
! E_form (uncorrected), eV/atom: -1.816

=====

(4)
! Cs3Ac2TlO6 (PBE, optimized geometry); values from VASP
&SYSTEM
  ibrav = 0, nat = 12, ntyp = 4
/
ATOMIC_SPECIES
Cs 132.91 Cs.upf
Ac 227.00 Ac.upf
Tl 204.38 Tl.upf
O 16.00 O.upf
CELL_PARAMETERS angstrom
-4.256 1.671 -4.728
4.116 -5.035 -0.983
-4.679 -3.250 4.641
ATOMIC_POSITIONS angstrom
Cs 0.418 -5.572 0.730
Cs -5.237 -1.043 -1.800
Cs -2.410 -3.307 -0.535
Ac 1.316 -2.793 -2.235
Ac -1.456 -0.572 -3.476
Tl 0.000 0.000 0.000
O -5.303 -4.250 -1.227
O -0.970 -3.051 -3.294
O 0.483 -2.365 0.157
O -2.644 -6.379 -0.038
O -3.849 -3.564 2.224
O -2.175 -0.236 -1.032
! SG: No. 12
! Calculated total energy, eV per cell: -66.03
! Crystal system: monoclinic
! E_form (uncorrected), eV/atom: -1.928

=====

(5)
! Cs3AcTl2O6 (PBE, optimized geometry); values from VASP
&SYSTEM
  ibrav = 0, nat = 12, ntyp = 4
/
ATOMIC_SPECIES
Cs 132.91 Cs.upf
Ac 227.00 Ac.upf
Tl 204.38 Tl.upf
O 16.00 O.upf
CELL_PARAMETERS angstrom
6.898 0.000 0.000
-3.449 5.974 0.000
0.000 0.000 8.113
ATOMIC_POSITIONS angstrom
Cs 0.000 3.982 6.058
Cs 3.449 1.991 2.055
Cs 0.000 0.000 0.000
Ac 0.000 0.000 4.056
Tl 3.449 1.991 5.741
Tl 0.000 3.982 2.372
O 1.808 5.027 2.429
O 0.000 1.894 2.429
O -1.808 5.027 2.429
O 3.449 4.079 5.683
O 1.640 0.947 5.683
O 5.257 0.947 5.683
! SG: No. 164
! Calculated total energy, eV per cell: -58.03
! Crystal system: trigonal
! E_form (uncorrected), eV/atom: -1.407

=====

(6)
! Cs4Ac3TlO8 (PBE, optimized geometry); values from VASP
&SYSTEM
  ibrav = 0, nat = 16, ntyp = 4
/
ATOMIC_SPECIES
Cs 132.91 Cs.upf
Ac 227.00 Ac.upf
Tl 204.38 Tl.upf
O 16.00 O.upf
CELL_PARAMETERS angstrom
-4.212 -2.538 5.837
-4.428 -4.634 -5.211
7.661 -1.052 0.081
ATOMIC_POSITIONS angstrom
Cs -2.106 -1.269 2.918
Cs 1.724 -1.795 2.959
Cs 0.000 0.000 0.000
Cs 3.830 -0.526 0.041
Ac -4.320 -3.586 0.313
Ac -0.489 -4.112 0.354
Ac 1.617 -2.843 -2.565
Tl -2.214 -2.317 -2.605
O 3.431 -4.672 -2.184
O -0.396 -4.317 -2.163
O 1.651 -2.824 -0.036
O 1.212 -6.009 0.890
O -2.191 -2.215 -0.183
O -2.630 -5.401 0.744
O -0.583 -3.907 2.870
O -4.410 -3.552 2.891
! SG: No. 12
! Calculated total energy, eV per cell: -90.77
! Crystal system: monoclinic
! E_form (uncorrected), eV/atom: -2.062

=====

- Which of these has the lowest E_form (uncorrected)?
  Cs3Ac3TiO8